Entry 1:
Density functional theory data (meta-GGA SCAN) for a PBEsol-optimized structure of NaZn3Tc.

Computed properties:
calculated formation energy	0.503	eV per atom

abc: 4.7925 4.7925 4.7925
angles: 90.00 90.00 90.00
With the nearest neighbours (Å) after each atom.
Space group Pm-3m (No. 221)
Unique sites:
Na  0.0000  0.0000  0.0000 [1 per cell]  12 Zn 3.39
Zn  0.0000  0.5000  0.5000 [3 per cell]  2 Tc 2.40
Tc  0.5000  0.5000  0.5000 [1 per cell]  6 Zn 2.40

Entry 2:
Density functional theory data (meta-GGA SCAN) for a PBEsol-optimized structure of Mo2WSe6.

abc: 3.2680 3.2680 20.4762
angles: 90.00 90.00 120.00
With the nearest neighbours (Å) after each atom.
Space group P3m1 (No. 156)
Unique sites:
Mo  0.0000  0.0000  0.0000 [1 per cell]  6 Se 2.52
Mo  0.3333  0.6667  0.3185 [1 per cell]  6 Se 2.52
W  0.3333  0.6667  0.6807 [1 per cell]  6 Se 2.52-2.53
Se  0.0000  0.0000  0.2371 [1 per cell]  3 Mo 2.52
Se  0.0000  0.0000  0.3998 [1 per cell]  3 Mo 2.52
Se  0.0000  0.0000  0.5988 [1 per cell]  3 W 2.52
Se  0.0000  0.0000  0.7627 [1 per cell]  3 W 2.53
Se  0.3333  0.6667  0.0813 [1 per cell]  3 Mo 2.52
Se  0.3333  0.6667  0.9187 [1 per cell]  3 Mo 2.52

Entry 3:
Density functional theory data (meta-GGA SCAN) for a PBEsol-optimized structure of Pt2IN.

Computed properties:
relative energy among the computed polymorphs	942	meV per atom

abc: 6.2718 6.2718 6.2718
angles: 90.00 90.00 90.00
With the nearest neighbours (Å) after each atom.
Space group Fm-3m (No. 225)
Unique sites:
Pt  0.2500  0.2500  0.2500 [8 per cell]  4 I 2.72, 4 N 2.72
I  0.0000  0.0000  0.0000 [4 per cell]  8 Pt 2.72
N  0.0000  0.0000  0.5000 [4 per cell]  8 Pt 2.72

Entry 4:
Density functional theory data (meta-GGA SCAN) for a PBEsol-optimized structure of Na3CoPCO7.

Computed properties:
relative energy among the computed polymorphs	22	meV per atom

abc: 5.2239 6.5510 8.8611
angles: 90.00 90.55 90.00
With the nearest neighbours (Å) after each atom.
Space group P2_1 (No. 4)
Unique sites:
Na  0.0025  0.0000  0.0033 [2 per cell]  6 O 2.32-2.43
Na  0.4366  0.7498  0.1665 [2 per cell]  4 O 2.20-2.39
Na  0.4941  0.9991  0.4953 [2 per cell]  4 O 2.27-2.54
Co  0.0333  0.2622  0.2915 [2 per cell]  5 O 1.98-2.16
P  0.0169  0.2503  0.6510 [2 per cell]  4 O 1.53-1.57
C  0.4996  0.2472  0.1568 [2 per cell]  3 O 1.29-1.31
O  0.0767  0.5625  0.2538 [2 per cell]  1 P 1.57
O  0.0778  0.9384  0.2579 [2 per cell]  1 P 1.56
O  0.1200  0.7432  0.5057 [2 per cell]  1 P 1.56
O  0.2568  0.7443  0.8764 [2 per cell]  1 C 1.31
O  0.3078  0.2474  0.6347 [2 per cell]  1 P 1.53
O  0.3309  0.2550  0.0486 [2 per cell]  1 C 1.30
O  0.4268  0.2423  0.2949 [2 per cell]  1 C 1.29

Entry 5:
Density functional theory data (meta-GGA SCAN) for a PBEsol-optimized structure of Si4TeIr.

abc: 7.2832 7.2832 7.2832
angles: 90.00 90.00 90.00
With the nearest neighbours (Å) after each atom.
Space group F-43m (No. 216)
Unique sites:
Si  0.1244  0.1244  0.1244 [16 per cell]  6 Si 2.56-2.59
Te  0.0000  0.0000  0.5000 [4 per cell]  12 Si 3.02, 4 Ir 3.15
Ir  0.2500  0.2500  0.7500 [4 per cell]  12 Si 3.02, 4 Te 3.15

Entry 6:
Density functional theory data (meta-GGA SCAN) for a PBEsol-optimized structure of CeO2.

abc: 5.3960 5.3960 5.3960
angles: 90.00 90.00 90.00
With the nearest neighbours (Å) after each atom.
Space group Fm-3m (No. 225)
Unique sites:
Ce  0.0000  0.0000  0.0000 [4 per cell]  8 O 2.34
O  0.2500  0.2500  0.2500 [8 per cell]  4 Ce 2.34

Entry 7:
Density functional theory data (meta-GGA SCAN) for a PBEsol-optimized structure of Na2As2Ru.

Computed properties:
calculated formation energy	-0.398	eV per atom

abc: 6.2769 6.2769 4.8700
angles: 90.00 90.00 90.00
With the nearest neighbours (Å) after each atom.
Space group P4/mbm (No. 127)
Unique sites:
Na  0.1796  0.3204  0.0000 [4 per cell]  6 As 2.91-3.17, 1 Na 3.19
As  0.1418  0.6418  0.5000 [4 per cell]  2 Ru 2.42, 1 As 2.52
Ru  0.0000  0.0000  0.5000 [2 per cell]  4 As 2.42

Entry 8:
Density functional theory data (meta-GGA SCAN) for a PBEsol-optimized structure of La2Ta.

Computed properties:
relative energy among the computed polymorphs	39	meV per atom
calculated formation energy	0.433	eV per atom

abc: 3.7306 17.9687 4.9995
angles: 90.00 90.00 90.00
With the nearest neighbours (Å) after each atom.
Space group Cmcm (No. 63)
Unique sites:
La  0.0000  0.0900  0.2500 [4 per cell]  6 Ta 3.00-3.24, 2 La 3.15
La  0.0000  0.1968  0.7500 [4 per cell]  2 La 3.15, 2 Ta 3.37
Ta  0.0000  0.4592  0.2500 [4 per cell]  2 Ta 2.90, 6 La 3.00-3.24

Entry 9:
Density functional theory data (meta-GGA SCAN) for a PBEsol-optimized structure of Bi3PF.

abc: 5.3236 5.3236 5.3236
angles: 90.00 90.00 90.00
With the nearest neighbours (Å) after each atom.
Space group Pm-3m (No. 221)
Unique sites:
Bi  0.0000  0.0000  0.5000 [3 per cell]  2 P 2.66
P  0.0000  0.0000  0.0000 [1 per cell]  6 Bi 2.66
F  0.5000  0.5000  0.5000 [1 per cell]  12 Bi 3.76

Entry 10:
Density functional theory data (meta-GGA SCAN) for a PBEsol-optimized structure of ScTePb2.

abc: 3.6370 3.6370 8.1807
angles: 90.00 90.00 90.00
With the nearest neighbours (Å) after each atom.
Space group P4mm (No. 99)
Unique sites:
Sc  0.0000  0.0000  0.0000 [1 per cell]  4 Te 2.91
Te  0.5000  0.5000  0.1653 [1 per cell]  4 Sc 2.91
Pb  0.0000  0.0000  0.4741 [1 per cell]  8 Pb 3.38-3.64, 4 Te 3.60
Pb  0.5000  0.5000  0.7428 [1 per cell]  4 Sc 3.32, 8 Pb 3.38-3.64, 1 Te 3.46

Entry 11:
Density functional theory data (meta-GGA SCAN) for a PBEsol-optimized structure of La2MoPRu.

Computed properties:
calculated formation energy	0.173	eV per atom

abc: 5.5228 5.5228 4.2389
angles: 90.00 90.00 90.00
With the nearest neighbours (Å) after each atom.
Space group P4/mmm (No. 123)
Unique sites:
La  0.0000  0.5000  0.0000 [2 per cell]  2 P 2.76
Mo  0.0000  0.0000  0.5000 [1 per cell]  8 La 3.48
P  0.5000  0.5000  0.0000 [1 per cell]  2 Ru 2.12
Ru  0.5000  0.5000  0.5000 [1 per cell]  2 P 2.12

Entry 12:
Density functional theory data (meta-GGA SCAN) for a PBEsol-optimized structure of Cr2MoPb.

Computed properties:
calculated formation energy	0.436	eV per atom

abc: 4.1797 4.1797 7.0133
angles: 90.00 90.00 90.00
With the nearest neighbours (Å) after each atom.
Space group I4/mmm (No. 139)
Unique sites:
Cr  0.0000  0.5000  0.2500 [4 per cell]  4 Pb 2.73, 4 Mo 2.73, 4 Cr 2.96
Mo  0.0000  0.0000  0.0000 [2 per cell]  8 Cr 2.73, 4 Pb 2.96
Pb  0.0000  0.0000  0.5000 [2 per cell]  8 Cr 2.73, 4 Mo 2.96

Entry 13:
Density functional theory data (meta-GGA SCAN) for a PBEsol-optimized structure of ReAg2As.

Computed properties:
calculated formation energy	0.361	eV per atom

abc: 3.1441 3.1441 6.4745
angles: 90.00 90.00 90.00
With the nearest neighbours (Å) after each atom.
Space group P4mm (No. 99)
Unique sites:
Re  0.0000  0.0000  0.0000 [1 per cell]  4 As 2.52
Ag  0.0000  0.0000  0.5329 [1 per cell]  4 Ag 2.78, 4 As 2.89, 1 Re 3.02
Ag  0.5000  0.5000  0.2758 [1 per cell]  4 Ag 2.78, 4 Re 2.85, 1 As 2.97
As  0.5000  0.5000  0.8173 [1 per cell]  4 Re 2.52

Entry 14:
Density functional theory data (meta-GGA SCAN) for a PBEsol-optimized structure of SnS2F.

Computed properties:
relative energy among the computed polymorphs	0	meV per atom

abc: 8.5767 8.5767 4.3876
angles: 90.00 90.00 90.00
With the nearest neighbours (Å) after each atom.
Space group I-42d (No. 122)
Unique sites:
Sn  0.0000  0.0000  0.0000 [4 per cell]  2 F 2.19
S  0.2068  0.7500  0.1250 [8 per cell]  2 S 2.32
F  0.0000  0.0000  0.5000 [4 per cell]  2 Sn 2.19

Q: Which E_tot values were calculated for the entries above? A: -1.1364 -2.1696 -3.3101 -0.6817 -1.7492 -1.6749 -1.2587 -3.7116 -3.6439 -3.7647 -2.4322 -2.6770 -2.8036 -1.1288, in Ry/atom.
Q: Which spin magnetization values were calculated for the entries above? A: 0.0 0.0 0.0 6.0 0.0 0.0 0.0 0.0 0.0 0.0 4.0 7.8 0.0 0.0, in μB/cell.